Here is a relaxed U6P2SeS3 crystal from the Alexandria database. Energies are from PBE.

It has space group C2/m (No. 12), with a = 16.933 Å, b = 3.963 Å, c = 7.746 Å, α = 90.00°, β = 101.22° and γ = 90.00°. The inequivalent atoms are U at (0.001, 0.000, 0.262), U at (0.166, 0.500, 0.583), U at (0.171, 0.500, 0.084), P at (0.167, 0.000, 0.332), Se at (0.000, 0.500, 0.000), S at (0.000, 0.500, 0.500) and S at (0.165, 0.000, 0.832).

The formation energy (no corrections) comes out at -1.1850 eV per atom. The value obtained for the density of states at the Fermi level is 53.1 states/eV per cell.